Entry 1:
VASP calculation (PBE) on a geometry-optimized Tb6CeIn5 structure.

```
data_Tb6CeIn5
_chemical_formula_sum 'Tb6 Ce1 In5'
_symmetry_space_group_name_H-M 'P 1'
_symmetry_Int_Tables_number 1
_symmetry_space_group_name_Hall 'P 1'
_cell_length_a 7.6944
_cell_length_b 7.6944
_cell_length_c 6.1130
_cell_angle_alpha 99.32
_cell_angle_beta 99.32
_cell_angle_gamma 93.93
loop_
_atom_site_label
_atom_site_type_symbol
_atom_site_fract_x
_atom_site_fract_y
_atom_site_fract_z
_atom_site_occupancy
Tb1 Tb 0.0506 0.4065 0.7367 1
Tb2 Tb 0.2262 0.2262 0.2275 1
Tb3 Tb 0.4065 0.0506 0.7367 1
Tb4 Tb 0.5935 0.9494 0.2633 1
Tb5 Tb 0.7738 0.7738 0.7725 1
Tb6 Tb 0.9494 0.5935 0.2633 1
Ce1 Ce 0.5000 0.5000 0.0000 1
In1 In 0.0000 0.0000 0.5000 1
In2 In 0.1955 0.8045 0.0000 1
In3 In 0.3608 0.6392 0.5000 1
In4 In 0.6392 0.3608 0.5000 1
In5 In 0.8045 0.1955 0.0000 1
```

=====

Entry 2:
VASP calculation (PBE) on a geometry-optimized Tb6CeIn3 structure.

Properties
Energy above the most stable polymorph in this dataset (eV/f.u.): 1.42

```
data_Tb6CeIn3
_chemical_formula_sum 'Tb12 Ce2 In6'
_symmetry_space_group_name_H-M 'P 1'
_symmetry_Int_Tables_number 1
_symmetry_space_group_name_Hall 'P 1'
_cell_length_a 9.2315
_cell_length_b 9.2315
_cell_length_c 7.7550
_cell_angle_alpha 90.00
_cell_angle_beta 90.00
_cell_angle_gamma 110.56
loop_
_atom_site_label
_atom_site_type_symbol
_atom_site_fract_x
_atom_site_fract_y
_atom_site_fract_z
_atom_site_occupancy
Tb1 Tb 0.0540 0.9460 0.5000 1
Tb2 Tb 0.0752 0.4547 0.9928 1
Tb3 Tb 0.2330 0.3016 0.3076 1
Tb4 Tb 0.2999 0.7001 0.3265 1
Tb5 Tb 0.3016 0.2330 0.8076 1
Tb6 Tb 0.4547 0.0752 0.4928 1
Tb7 Tb 0.5453 0.9248 0.9928 1
Tb8 Tb 0.6984 0.7670 0.3076 1
Tb9 Tb 0.7001 0.2999 0.8265 1
Tb10 Tb 0.7670 0.6984 0.8076 1
Tb11 Tb 0.9248 0.5453 0.4928 1
Tb12 Tb 0.9460 0.0540 0.0000 1
Ce1 Ce 0.2224 0.7776 0.7854 1
Ce2 Ce 0.7776 0.2224 0.2854 1
In1 In 0.0138 0.2753 0.6323 1
In2 In 0.2753 0.0138 0.1323 1
In3 In 0.4473 0.5527 0.0197 1
In4 In 0.5527 0.4473 0.5197 1
In5 In 0.7247 0.9862 0.6323 1
In6 In 0.9862 0.7247 0.1323 1
```

=====

Entry 3:
VASP calculation (PBE) on a geometry-optimized Tb2Ce3In6 structure.

```
data_Tb2Ce3In6
_chemical_formula_sum 'Tb2 Ce3 In6'
_symmetry_space_group_name_H-M 'P 1'
_symmetry_Int_Tables_number 1
_symmetry_space_group_name_Hall 'P 1'
_cell_length_a 11.8234
_cell_length_b 11.8234
_cell_length_c 11.8234
_cell_angle_alpha 151.00
_cell_angle_beta 151.00
_cell_angle_gamma 41.47
loop_
_atom_site_label
_atom_site_type_symbol
_atom_site_fract_x
_atom_site_fract_y
_atom_site_fract_z
_atom_site_occupancy
Tb1 Tb 0.0747 0.0747 0.0000 1
Tb2 Tb 0.9253 0.9253 0.0000 1
Ce1 Ce 0.3601 0.3601 0.0000 1
Ce2 Ce 0.5000 0.5000 0.0000 1
Ce3 Ce 0.6399 0.6399 0.0000 1
In1 In 0.0685 0.5685 0.5000 1
In2 In 0.2143 0.2143 0.0000 1
In3 In 0.4315 0.9315 0.5000 1
In4 In 0.5685 0.0685 0.5000 1
In5 In 0.7857 0.7857 0.0000 1
In6 In 0.9315 0.4315 0.5000 1
```

=====

Entry 4:
VASP calculation (PBE) on a geometry-optimized Tb2CeIn3 structure.

```
data_Tb2CeIn3
_chemical_formula_sum 'Tb2 Ce1 In3'
_symmetry_space_group_name_H-M 'P 1'
_symmetry_Int_Tables_number 1
_symmetry_space_group_name_Hall 'P 1'
_cell_length_a 3.5030
_cell_length_b 3.5030
_cell_length_c 13.2509
_cell_angle_alpha 90.00
_cell_angle_beta 90.00
_cell_angle_gamma 90.00
loop_
_atom_site_label
_atom_site_type_symbol
_atom_site_fract_x
_atom_site_fract_y
_atom_site_fract_z
_atom_site_occupancy
Tb1 Tb 0.0000 0.0000 0.1627 1
Tb2 Tb 0.0000 0.0000 0.8373 1
Ce1 Ce 0.0000 0.0000 0.5000 1
In1 In 0.5000 0.5000 0.0000 1
In2 In 0.5000 0.5000 0.3279 1
In3 In 0.5000 0.5000 0.6721 1
```

=====

Entry 5:
VASP calculation (PBE) on a geometry-optimized Tb2CeIn6 structure.

```
data_Tb2CeIn6
_chemical_formula_sum 'Tb2 Ce1 In6'
_symmetry_space_group_name_H-M 'P 1'
_symmetry_Int_Tables_number 1
_symmetry_space_group_name_Hall 'P 1'
_cell_length_a 8.7092
_cell_length_b 8.7092
_cell_length_c 3.5666
_cell_angle_alpha 90.00
_cell_angle_beta 90.00
_cell_angle_gamma 120.00
loop_
_atom_site_label
_atom_site_type_symbol
_atom_site_fract_x
_atom_site_fract_y
_atom_site_fract_z
_atom_site_occupancy
Tb1 Tb 0.3333 0.6667 0.0000 1
Tb2 Tb 0.6667 0.3333 0.0000 1
Ce1 Ce 0.0000 0.0000 0.0000 1
In1 In 0.0000 0.3348 0.5000 1
In2 In 0.0000 0.6652 0.5000 1
In3 In 0.3348 0.0000 0.5000 1
In4 In 0.3348 0.3348 0.5000 1
In5 In 0.6652 0.0000 0.5000 1
In6 In 0.6652 0.6652 0.5000 1
```

=====

Entry 6:
VASP calculation (PBE) on a geometry-optimized TbCeIn4 structure.

Properties
Energy above the most stable polymorph in this dataset (eV/f.u.): 0.00

```
data_TbCeIn4
_chemical_formula_sum 'Tb1 Ce1 In4'
_symmetry_space_group_name_H-M 'P 1'
_symmetry_Int_Tables_number 1
_symmetry_space_group_name_Hall 'P 1'
_cell_length_a 3.5721
_cell_length_b 5.0280
_cell_length_c 8.7378
_cell_angle_alpha 90.00
_cell_angle_beta 90.00
_cell_angle_gamma 90.00
loop_
_atom_site_label
_atom_site_type_symbol
_atom_site_fract_x
_atom_site_fract_y
_atom_site_fract_z
_atom_site_occupancy
Tb1 Tb 0.0000 0.0000 0.0000 1
Ce1 Ce 0.0000 0.5000 0.5000 1
In1 In 0.4959 0.5000 0.1648 1
In2 In 0.4967 0.0000 0.6688 1
In3 In 0.5033 0.0000 0.3312 1
In4 In 0.5041 0.5000 0.8352 1
```

=====

Entry 7:
VASP calculation (PBE) on a geometry-optimized TbCe4In5 structure.

```
data_TbCe4In5
_chemical_formula_sum 'Tb1 Ce4 In5'
_symmetry_space_group_name_H-M 'P 1'
_symmetry_Int_Tables_number 1
_symmetry_space_group_name_Hall 'P 1'
_cell_length_a 4.1030
_cell_length_b 4.1030
_cell_length_c 16.5801
_cell_angle_alpha 90.00
_cell_angle_beta 90.00
_cell_angle_gamma 90.00
loop_
_atom_site_label
_atom_site_type_symbol
_atom_site_fract_x
_atom_site_fract_y
_atom_site_fract_z
_atom_site_occupancy
Tb1 Tb 0.0000 0.0000 0.0000 1
Ce1 Ce 0.0000 0.0000 0.2069 1
Ce2 Ce 0.0000 0.0000 0.3997 1
Ce3 Ce 0.0000 0.0000 0.6003 1
Ce4 Ce 0.0000 0.0000 0.7931 1
In1 In 0.5000 0.5000 0.0984 1
In2 In 0.5000 0.5000 0.3023 1
In3 In 0.5000 0.5000 0.5000 1
In4 In 0.5000 0.5000 0.6977 1
In5 In 0.5000 0.5000 0.9016 1
```

=====

Entry 8:
VASP calculation (PBE) on a geometry-optimized Tb9Ce4In11 structure.

```
data_Tb9Ce4In11
_chemical_formula_sum 'Tb9 Ce4 In11'
_symmetry_space_group_name_H-M 'P 1'
_symmetry_Int_Tables_number 1
_symmetry_space_group_name_Hall 'P 1'
_cell_length_a 13.7605
_cell_length_b 13.7605
_cell_length_c 3.5090
_cell_angle_alpha 90.00
_cell_angle_beta 90.00
_cell_angle_gamma 99.80
loop_
_atom_site_label
_atom_site_type_symbol
_atom_site_fract_x
_atom_site_fract_y
_atom_site_fract_z
_atom_site_occupancy
Tb1 Tb 0.0000 0.0000 0.0000 1
Tb2 Tb 0.1020 0.6508 0.0000 1
Tb3 Tb 0.2952 0.4975 0.0000 1
Tb4 Tb 0.3492 0.8980 0.0000 1
Tb5 Tb 0.4975 0.2952 0.0000 1
Tb6 Tb 0.5025 0.7048 0.0000 1
Tb7 Tb 0.6508 0.1020 0.0000 1
Tb8 Tb 0.7048 0.5025 0.0000 1
Tb9 Tb 0.8980 0.3492 0.0000 1
Ce1 Ce 0.1041 0.2359 0.0000 1
Ce2 Ce 0.2359 0.1041 0.0000 1
Ce3 Ce 0.7641 0.8959 0.0000 1
Ce4 Ce 0.8959 0.7641 0.0000 1
In1 In 0.0902 0.4416 0.5000 1
In2 In 0.1335 0.8665 0.5000 1
In3 In 0.3012 0.6988 0.5000 1
In4 In 0.3055 0.3055 0.5000 1
In5 In 0.4416 0.0902 0.5000 1
In6 In 0.5000 0.5000 0.5000 1
In7 In 0.5584 0.9098 0.5000 1
In8 In 0.6945 0.6945 0.5000 1
In9 In 0.6988 0.3012 0.5000 1
In10 In 0.8665 0.1335 0.5000 1
In11 In 0.9098 0.5584 0.5000 1
```

=====

no.,total energy (Ha/atom),formation enthalpy at 0 K (eV/atom)
1,-0.1540,-0.240
2,-0.1584,-0.117
3,-0.1417,0.098
4,-0.1594,-0.435
5,-0.1437,-0.396
6,-0.1460,-0.388
7,-0.1666,-0.329
8,-0.1596,-0.363